DFT (PBE+U) results for crystalline Cd2FeIrO6 at its relaxed geometry.

a = 5.4478 Å, b = 5.5075 Å, c = 7.7803 Å
α = 90.00°, β = 89.86°, γ = 90.00°
Sites, in units of the cell vectors:
O 0.0996 0.4648 0.7543
O 0.9004 0.5352 0.2457
O 0.1947 0.2054 0.0530
O 0.3053 0.7054 0.4470
O 0.8053 0.7946 0.9470
O 0.2027 0.1985 0.4485
O 0.4004 0.9648 0.7457
O 0.7973 0.8015 0.5515
O 0.7027 0.3015 0.9485
O 0.5996 0.0352 0.2543
O 0.6947 0.2946 0.5530
O 0.2973 0.6985 0.0515
Cd 0.9910 0.0428 0.7488
Cd 0.4910 0.4572 0.2488
Cd 0.5090 0.5428 0.7512
Cd 0.0090 0.9572 0.2512
Fe 0.0000 0.5000 0.5000
Fe 0.5000 0.0000 0.0000
Ir 0.5000 0.0000 0.5000
Ir 0.0000 0.5000 0.0000

For the density of states at the Fermi level, the calculation gives 0.4162 states/eV/atom. As for the space group: No. 14. As for the final energy: -5.594 eV/atom. The density comes out at 8.09 g/cm3.